Entry 1:
# Hf2NiPtAu2 PBE optimized geometry
# Fermi-level density of states ... 0.59 states/eV/atom
# Energy of formation from the pure elements ... -0.54 eV/atom
data_Hf2NiPtAu2
_chemical_formula_sum 'Hf8 Ni4 Pt4 Au8'
_space_group_name_H-M_alt 'I b a m'
_space_group_IT_number 72
_space_group_name_Hall '-I 2 2c'
_cell_length_a 5.6574
_cell_length_b 13.5273
_cell_length_c 5.6585
_cell_angle_alpha 90.00
_cell_angle_beta 90.00
_cell_angle_gamma 90.00
loop_
_atom_site_label
_atom_site_fract_x
_atom_site_fract_y
_atom_site_fract_z
Hf1 0.2376 0.1515 0.0000
Ni1 0.0000 0.5000 0.2500
Pt1 0.0000 0.0000 0.2500
Au1 0.2258 0.3576 0.0000

Entry 2:
# Hf2NiRhAu2 PBE optimized geometry
# Fermi-level density of states ... 0.86 states/eV/atom
# Energy of formation from the pure elements ... -0.47 eV/atom
data_Hf2NiRhAu2
_chemical_formula_sum 'Hf8 Ni4 Rh4 Au8'
_space_group_name_H-M_alt 'I b a m'
_space_group_IT_number 72
_space_group_name_Hall '-I 2 2c'
_cell_length_a 5.7160
_cell_length_b 13.0972
_cell_length_c 5.7441
_cell_angle_alpha 90.00
_cell_angle_beta 90.00
_cell_angle_gamma 90.00
loop_
_atom_site_label
_atom_site_fract_x
_atom_site_fract_y
_atom_site_fract_z
Hf1 0.2383 0.1472 0.0000
Ni1 0.0000 0.5000 0.2500
Rh1 0.0000 0.0000 0.2500
Au1 0.2293 0.3595 0.0000

Entry 3:
# HfScNiAu2 PBE optimized geometry
# Fermi-level density of states ... 0.79 states/eV/atom
# Energy of formation from the pure elements ... 0.09 eV/atom
data_HfScNiAu2
_chemical_formula_sum 'Hf1 Sc1 Ni1 Au2'
_space_group_name_H-M_alt 'P 4/m m m'
_space_group_IT_number 123
_space_group_name_Hall '-P 4 2'
_cell_length_a 4.8549
_cell_length_b 4.8549
_cell_length_c 4.4488
_cell_angle_alpha 90.00
_cell_angle_beta 90.00
_cell_angle_gamma 90.00
loop_
_atom_site_label
_atom_site_fract_x
_atom_site_fract_y
_atom_site_fract_z
Hf1 0.0000 0.0000 0.0000
Sc1 0.5000 0.5000 0.0000
Ni1 0.0000 0.0000 0.5000
Au1 0.0000 0.5000 0.5000

Entry 4:
# HfNiSnAu PBE optimized geometry
# Fermi-level density of states ... 0.57 states/eV/atom
# Energy of formation from the pure elements ... -0.28 eV/atom
data_HfNiSnAu
_chemical_formula_sum 'Hf4 Ni4 Sn4 Au4'
_space_group_name_H-M_alt 'F -4 3 m'
_space_group_IT_number 216
_space_group_name_Hall 'F -4 2 3'
_cell_length_a 6.5909
_cell_length_b 6.5909
_cell_length_c 6.5909
_cell_angle_alpha 90.00
_cell_angle_beta 90.00
_cell_angle_gamma 90.00
loop_
_atom_site_label
_atom_site_fract_x
_atom_site_fract_y
_atom_site_fract_z
Hf1 0.0000 0.0000 0.0000
Ni1 0.2500 0.2500 0.2500
Sn1 0.0000 0.0000 0.5000
Au1 0.2500 0.2500 0.7500

Entry 5:
# HfTaNi2Au PBE optimized geometry
# Fermi-level density of states ... 0.86 states/eV/atom
# Energy of formation from the pure elements ... 1.23 eV/atom
data_HfTaNi2Au
_chemical_formula_sum 'Hf1 Ta1 Ni2 Au1'
_space_group_name_H-M_alt 'P 4/m m m'
_space_group_IT_number 123
_space_group_name_Hall '-P 4 2'
_cell_length_a 4.4240
_cell_length_b 4.4240
_cell_length_c 5.0122
_cell_angle_alpha 90.00
_cell_angle_beta 90.00
_cell_angle_gamma 90.00
loop_
_atom_site_label
_atom_site_fract_x
_atom_site_fract_y
_atom_site_fract_z
Hf1 0.0000 0.0000 0.0000
Ta1 0.5000 0.5000 0.5000
Ni1 0.0000 0.5000 0.0000
Au1 0.0000 0.0000 0.5000

Entry 6:
# TbHfNiAu PBE optimized geometry
# Fermi-level density of states ... 0.67 states/eV/atom
# Energy of formation from the pure elements ... -0.39 eV/atom
data_TbHfNiAu
_chemical_formula_sum 'Tb4 Hf4 Ni4 Au4'
_space_group_name_H-M_alt 'F -4 3 m'
_space_group_IT_number 216
_space_group_name_Hall 'F -4 2 3'
_cell_length_a 6.8212
_cell_length_b 6.8212
_cell_length_c 6.8212
_cell_angle_alpha 90.00
_cell_angle_beta 90.00
_cell_angle_gamma 90.00
loop_
_atom_site_label
_atom_site_fract_x
_atom_site_fract_y
_atom_site_fract_z
Tb1 0.0000 0.0000 0.0000
Hf1 0.0000 0.0000 0.5000
Ni1 0.2500 0.2500 0.2500
Au1 0.2500 0.2500 0.7500

Entry 7:
# TmHfNiAu PBE optimized geometry
# Fermi-level density of states ... 0.58 states/eV/atom
# Energy of formation from the pure elements ... -0.45 eV/atom
data_TmHfNiAu
_chemical_formula_sum 'Tm4 Hf4 Ni4 Au4'
_space_group_name_H-M_alt 'F -4 3 m'
_space_group_IT_number 216
_space_group_name_Hall 'F -4 2 3'
_cell_length_a 6.7554
_cell_length_b 6.7554
_cell_length_c 6.7554
_cell_angle_alpha 90.00
_cell_angle_beta 90.00
_cell_angle_gamma 90.00
loop_
_atom_site_label
_atom_site_fract_x
_atom_site_fract_y
_atom_site_fract_z
Tm1 0.0000 0.0000 0.0000
Hf1 0.0000 0.0000 0.5000
Ni1 0.2500 0.2500 0.2500
Au1 0.2500 0.2500 0.7500

Entry 8:
# HfVNiAu2 PBE optimized geometry
# Fermi-level density of states ... 1.92 states/eV/atom
# Energy of formation from the pure elements ... 1.28 eV/atom
data_HfVNiAu2
_chemical_formula_sum 'Hf1 V1 Ni1 Au2'
_space_group_name_H-M_alt 'P 4/m m m'
_space_group_IT_number 123
_space_group_name_Hall '-P 4 2'
_cell_length_a 5.0803
_cell_length_b 5.0803
_cell_length_c 4.4751
_cell_angle_alpha 90.00
_cell_angle_beta 90.00
_cell_angle_gamma 90.00
loop_
_atom_site_label
_atom_site_fract_x
_atom_site_fract_y
_atom_site_fract_z
Hf1 0.0000 0.0000 0.0000
V1 0.5000 0.5000 0.5000
Ni1 0.0000 0.0000 0.5000
Au1 0.0000 0.5000 0.0000